1.
A plane-wave DFT calculation with GGA-PBEsol was carried out for an optimized crystal structure of KIrBr2.

Values from the calculation:
- Space-group type: No. 71
- Crystal system: orthorhombic

a b c (Å): 6.1221 6.1221 6.1221
angles (deg): 144.76 123.58 68.30
Last column: nearest neighbours and their distance in Å.
Sites, in units of the cell vectors:
K (0.0000, 0.0000, 0.0000)  4 Br 3.31, 4 Ir 3.44, 2 K 3.71
Ir (0.5000, 0.5000, 0.0000)  4 Br 2.46
Br (0.3411, 0.8411, 0.5000)  2 Ir 2.46
Br (0.6589, 0.1589, 0.5000)  2 Ir 2.46

---

2.
A plane-wave DFT calculation with GGA-PBEsol was carried out for an optimized crystal structure of KIrBr.

Values from the calculation:
- Space-group type: No. 216
- Crystal system: cubic

a b c (Å): 5.1627 5.1627 5.1627
angles (deg): 60.00 60.00 60.00
Last column: nearest neighbours and their distance in Å.
Sites, in units of the cell vectors:
K (0.0000, 0.0000, 0.0000)  4 Br 3.16, 4 Ir 3.16
Ir (0.2500, 0.2500, 0.2500)  4 K 3.16
Br (0.7500, 0.7500, 0.7500)  4 K 3.16

---

E (eV/atom)
-4.001, -2.848
Theoretical density (g/cm³)
6.0, 5.3
Total magnetic moment (μB per cell)
0.00, 2.85